Run i
! HgTeOs2 GGA-PBE optimized geometry; values from VASP
! **Space-group type**: P4/mmm (123)
&SYSTEM
  ibrav = 0, nat = 4, ntyp = 3
/
ATOMIC_SPECIES
Te 127.60 Te.upf
Hg 200.59 Hg.upf
Os 190.23 Os.upf
CELL_PARAMETERS angstrom
-4.141 -2.054 0.225
2.061 -4.143 0.094
0.113 0.131 3.293
ATOMIC_POSITIONS angstrom
Te -2.014 -0.961 1.759
Hg 1.087 -2.006 1.693
Os -1.040 -3.098 0.159
Os 0.000 0.000 0.000


Run ii
! HgTeOs2 GGA-PBE optimized geometry; values from VASP
! **Space-group type**: R-3m (166)
&SYSTEM
  ibrav = 0, nat = 4, ntyp = 3
/
ATOMIC_SPECIES
Os 190.23 Os.upf
Te 127.60 Te.upf
Hg 200.59 Hg.upf
CELL_PARAMETERS angstrom
8.699 -0.020 -0.012
8.144 3.056 -0.012
8.144 1.468 2.681
ATOMIC_POSITIONS angstrom
Os 12.663 2.283 1.346
Te 6.247 1.126 0.664
Hg 18.741 3.378 1.993
Os 24.819 4.474 2.639


Result of the stability comparison: run ii is the most stable of them.


Run i
! ZnHg2TeOs GGA-PBE optimized geometry; values from VASP
! **Space-group type**: P4/mmm (123)
&SYSTEM
  ibrav = 0, nat = 5, ntyp = 4
/
ATOMIC_SPECIES
Os 190.23 Os.upf
Hg 200.59 Hg.upf
Zn 65.41 Zn.upf
Te 127.60 Te.upf
CELL_PARAMETERS angstrom
-0.918 2.698 -4.641
0.019 -4.273 -2.487
-5.369 -0.480 0.783
ATOMIC_POSITIONS angstrom
Os 0.000 0.000 0.000
Hg -0.459 1.349 -2.321
Zn -3.133 -1.027 -3.173
Hg -2.684 -0.240 0.391
Te 0.010 -2.136 -1.244


Run ii
! ZnHg2TeOs GGA-PBE optimized geometry; values from VASP
! **Space-group type**: P4/mmm (123)
&SYSTEM
  ibrav = 0, nat = 5, ntyp = 4
/
ATOMIC_SPECIES
Zn 65.41 Zn.upf
Os 190.23 Os.upf
Hg 200.59 Hg.upf
Te 127.60 Te.upf
CELL_PARAMETERS angstrom
5.701 0.000 0.000
0.000 5.137 0.000
0.000 0.000 5.701
ATOMIC_POSITIONS angstrom
Zn 0.000 2.568 0.000
Os 2.851 2.568 2.851
Hg 2.851 0.000 0.000
Hg 0.000 0.000 2.851
Te 0.000 0.000 0.000


Result of the stability comparison: run i is the most stable of them.


Run i
! Th3Hg2Os GGA-PBE optimized geometry; values from VASP
! **Space-group type**: P-1 (2)
&SYSTEM
  ibrav = 0, nat = 12, ntyp = 3
/
ATOMIC_SPECIES
Th 232.04 Th.upf
Os 190.23 Os.upf
Hg 200.59 Hg.upf
CELL_PARAMETERS angstrom
0.419 -5.398 -0.242
1.886 0.137 -7.242
8.192 -2.192 1.942
ATOMIC_POSITIONS angstrom
Th 5.779 -2.351 1.315
Th 8.862 -5.050 0.097
Th 7.291 -2.241 -2.156
Th 4.719 -5.102 -6.857
Th 1.636 -2.403 -5.639
Os 0.392 -0.193 -1.444
Hg 3.877 -2.512 -1.359
Th 3.207 -5.211 -3.386
Hg 6.621 -4.941 -4.183
Os 10.105 -7.260 -4.098
Hg 5.800 -5.104 -1.025
Hg 4.698 -2.349 -4.517


Run ii
! Th3Hg2Os GGA-PBE optimized geometry; values from VASP
! **Space-group type**: Immm (71)
&SYSTEM
  ibrav = 0, nat = 6, ntyp = 3
/
ATOMIC_SPECIES
Th 232.04 Th.upf
Hg 200.59 Hg.upf
Os 190.23 Os.upf
CELL_PARAMETERS angstrom
3.994 0.000 0.000
0.000 6.040 0.000
-1.997 -3.020 7.370
ATOMIC_POSITIONS angstrom
Th 1.997 3.020 1.925
Th 0.000 0.000 5.445
Th 0.000 0.000 0.000
Hg 0.000 3.020 4.577
Os 0.000 3.020 0.000
Hg 1.997 0.000 2.793


Result of the stability comparison: run i is the most stable of them.


Run i
! Th4HgOs2 GGA-PBE optimized geometry; values from VASP
! **Space-group type**: P1 (1)
&SYSTEM
  ibrav = 0, nat = 14, ntyp = 3
/
ATOMIC_SPECIES
Os 190.23 Os.upf
Th 232.04 Th.upf
Hg 200.59 Hg.upf
CELL_PARAMETERS angstrom
7.149 -0.692 -0.139
-1.209 7.035 0.140
-2.836 -3.297 7.531
ATOMIC_POSITIONS angstrom
Os 4.030 0.656 0.460
Th 5.670 -0.378 2.883
Os -2.160 0.529 7.053
Th 3.040 -1.848 5.198
Th 5.024 3.178 0.742
Os 3.473 4.127 3.254
Os 1.366 0.227 4.276
Hg 6.855 -0.356 0.054
Th 1.659 2.261 2.138
Hg -0.839 3.802 3.664
Th 0.091 2.102 6.170
Th -0.522 -1.515 6.007
Th 1.049 5.786 1.716
Th 3.649 1.772 5.129


Run ii
! Th4HgOs2 GGA-PBE optimized geometry; values from VASP
! **Space-group type**: Cmcm (63)
&SYSTEM
  ibrav = 0, nat = 14, ntyp = 3
/
ATOMIC_SPECIES
Os 190.23 Os.upf
Th 232.04 Th.upf
Hg 200.59 Hg.upf
CELL_PARAMETERS angstrom
4.159 0.000 0.000
-2.080 6.997 0.000
0.000 0.000 13.869
ATOMIC_POSITIONS angstrom
Os 2.080 5.176 13.030
Th 0.000 0.969 3.467
Os 0.000 1.821 0.839
Th 2.080 0.000 6.934
Os 0.000 1.821 6.096
Th 2.080 3.668 5.368
Os 2.080 5.176 7.773
Th 0.000 3.329 8.501
Hg 0.000 5.489 3.467
Th 0.000 3.329 12.302
Hg 2.080 1.508 10.402
Th 2.080 0.000 0.000
Th 2.080 6.028 10.402
Th 2.080 3.668 1.567


Result of the stability comparison: run ii is the most stable of them.


Run i
! Ti2HgOs2 GGA-PBE optimized geometry; values from VASP
! **Space-group type**: I4/mmm (139)
&SYSTEM
  ibrav = 0, nat = 5, ntyp = 3
/
ATOMIC_SPECIES
Os 190.23 Os.upf
Hg 200.59 Hg.upf
Ti 47.87 Ti.upf
CELL_PARAMETERS angstrom
4.162 0.000 0.000
0.000 4.162 0.000
2.081 2.081 5.387
ATOMIC_POSITIONS angstrom
Os 2.081 2.081 1.253
Hg 0.000 0.000 0.000
Ti 4.162 2.081 2.693
Os 4.162 4.162 4.133
Ti 2.081 4.162 2.693


Run ii
! Ti2HgOs2 GGA-PBE optimized geometry; values from VASP
! **Space-group type**: P4/mbm (127)
&SYSTEM
  ibrav = 0, nat = 10, ntyp = 3
/
ATOMIC_SPECIES
Hg 200.59 Hg.upf
Ti 47.87 Ti.upf
Os 190.23 Os.upf
CELL_PARAMETERS angstrom
-2.795 5.960 -3.517
2.251 -2.804 -6.540
-2.640 -1.416 -0.302
ATOMIC_POSITIONS angstrom
Hg 0.000 0.000 0.000
Ti -2.907 3.373 -5.419
Os -0.960 3.327 -7.212
Ti -1.955 0.948 -2.366
Os -1.474 3.423 -3.171
Os 0.930 -0.267 -6.886
Os 0.417 -0.172 -2.845
Hg -0.272 1.578 -5.028
Ti -1.228 0.791 -7.993
Ti -0.276 -1.633 -4.940


Result of the stability comparison: run ii is the most stable of them.


Run i
! TlHg2Os GGA-PBE optimized geometry; values from VASP
! **Space-group type**: I-42d (122)
&SYSTEM
  ibrav = 0, nat = 8, ntyp = 3
/
ATOMIC_SPECIES
Hg 200.59 Hg.upf
Tl 204.38 Tl.upf
Os 190.23 Os.upf
CELL_PARAMETERS angstrom
4.127 0.000 0.000
0.000 4.127 0.000
2.064 2.064 10.431
ATOMIC_POSITIONS angstrom
Hg 3.095 3.190 7.823
Tl 0.000 0.000 0.000
Hg 3.000 1.032 2.608
Hg 5.159 5.064 7.823
Tl 4.127 2.064 5.215
Os 2.064 2.064 0.000
Hg 1.127 3.095 2.608
Os 2.064 4.127 5.215


Run ii
! TlHg2Os GGA-PBE optimized geometry; values from VASP
! **Space-group type**: C2/m (12)
&SYSTEM
  ibrav = 0, nat = 4, ntyp = 3
/
ATOMIC_SPECIES
Os 190.23 Os.upf
Tl 204.38 Tl.upf
Hg 200.59 Hg.upf
CELL_PARAMETERS angstrom
-6.799 -2.433 0.521
-5.266 -4.681 1.667
-1.651 1.041 4.252
ATOMIC_POSITIONS angstrom
Os -10.287 -4.555 4.830
Tl -3.429 -1.518 1.610
Hg -6.190 -2.513 3.354
Hg -2.319 0.517 4.119


Run iii
! TlHg2Os GGA-PBE optimized geometry; values from VASP
! **Space-group type**: I4/mmm (139)
&SYSTEM
  ibrav = 0, nat = 4, ntyp = 3
/
ATOMIC_SPECIES
Hg 200.59 Hg.upf
Tl 204.38 Tl.upf
Os 190.23 Os.upf
CELL_PARAMETERS angstrom
-1.203 3.968 -3.837
-4.885 2.797 0.473
4.343 -1.392 3.333
ATOMIC_POSITIONS angstrom
Hg -3.044 3.382 -1.682
Tl 0.048 2.979 -1.093
Hg 0.000 0.000 0.000
Os -1.793 2.394 1.062


Run iv
! TlHg2Os GGA-PBE optimized geometry; values from VASP
! **Space-group type**: Imm2 (44)
&SYSTEM
  ibrav = 0, nat = 4, ntyp = 3
/
ATOMIC_SPECIES
Os 190.23 Os.upf
Hg 200.59 Hg.upf
Tl 204.38 Tl.upf
CELL_PARAMETERS angstrom
7.492 0.034 0.009
5.374 5.221 -0.009
-5.931 -3.857 2.466
ATOMIC_POSITIONS angstrom
Os 6.429 2.626 0.000
Hg 0.045 0.018 0.000
Tl 3.820 2.356 1.229
Hg 3.075 -0.974 1.237


Result of the stability comparison: run iv is the most stable of them.